Computed, not measured: Bi2Pd2Pb3 after structural relaxation at the PBE level of DFT.

Cell: 11.9131 4.1621 7.8861 Å, 90.00 107.89 90.00°
With the nearest neighbours (Å) after each atom.
Space group C2/m (No. 12)
One atom of each set of equivalent atoms:
Bi (0.1672, 0.0000, 0.3310)  3 Pd 2.87-2.95
Pd (0.1767, 0.0000, 0.7098)  3 Bi 2.87-2.95, 5 Pb 2.97-3.06
Pb (0.0000, 0.5000, 0.5000)  4 Pd 3.06, 2 Pb 3.37, 4 Bi 3.42
Pb (0.1261, 0.5000, 0.9455)  3 Pd 2.97-3.00

Properties
The value obtained for the total DFT energy (no corrections) is -4.3254 eV/atom. Its magnetic moment is 0.00 μB/f.u.



Computed, not measured: Tb5PmZn6 after structural relaxation at the PBE level of DFT.

Cell: 5.0722 15.2339 7.2126 Å, 90.00 90.00 90.00°
With the nearest neighbours (Å) after each atom.
Space group Cmmm (No. 65)
One atom of each set of equivalent atoms:
Tb (0.0000, 0.0000, 0.0000)  8 Zn 3.09-3.12
Tb (0.0000, 0.3325, 0.5000)  8 Zn 3.09-3.14
Tb (0.0000, 0.3343, 0.0000)  8 Zn 3.08-3.10
Pm (0.0000, 0.0000, 0.5000)  8 Zn 3.13-3.15
Zn (0.0000, 0.1687, 0.2465)  7 Tb 3.09-3.13, 1 Pm 3.15
Zn (0.0000, 0.5000, 0.2457)  6 Tb 3.08-3.14, 2 Pm 3.13

Properties
The value obtained for the total DFT energy (no corrections) is -3.2943 eV/atom. Its magnetic moment is 0.00 μB/f.u.



Computed, not measured: Mn3Co2H4 after structural relaxation at the PBE level of DFT.

Cell: 9.3100 2.5409 5.8766 Å, 90.00 103.87 90.00°
With the nearest neighbours (Å) after each atom.
Space group C2/m (No. 12)
One atom of each set of equivalent atoms:
Mn (0.0000, 0.0000, 0.0000)  6 H 1.79-1.84
Mn (0.0859, 0.5000, 0.6714)  3 H 1.85-1.93
Co (0.1919, 0.5000, 0.3222)  3 H 1.78
H (0.0574, 0.0000, 0.3214)  2 Co 1.78, 3 Mn 1.84-1.85
H (0.1370, 0.5000, 0.0102)  1 Co 1.78, 3 Mn 1.79-1.93

Properties
The value obtained for the total DFT energy (no corrections) is -5.9806 eV/atom. Its magnetic moment is 1.47 μB/f.u.



Computed, not measured: CrCdPb2 after structural relaxation at the PBE level of DFT.

Cell: 3.6514 4.7977 6.0212 Å, 90.00 106.91 90.00°
With the nearest neighbours (Å) after each atom.
Space group Pm (No. 6)
One atom of each set of equivalent atoms:
Cr (0.0000, 0.0000, 0.0000)  2 Cd 2.96, 7 Pb 3.05-3.27
Cd (0.8563, 0.5000, 0.7000)  2 Cr 2.96, 7 Pb 3.17
Pb (0.2748, 0.0000, 0.5288)  3 Cr 3.05-3.27, 4 Cd 3.17
Pb (0.5715, 0.5000, 0.1495)  4 Cr 3.13-3.14, 3 Cd 3.17

Properties
The value obtained for the total DFT energy (no corrections) is -4.1355 eV/atom. Its magnetic moment is 4.06 μB/f.u.



Computed, not measured: PdCN3 after structural relaxation at the PBE level of DFT.

Cell: 3.8663 3.8663 3.8663 Å, 90.00 90.00 90.00°
With the nearest neighbours (Å) after each atom.
Space group Pm-3m (No. 221)
One atom of each set of equivalent atoms:
Pd (0.0000, 0.0000, 0.0000)  6 N 1.93
C (0.5000, 0.5000, 0.5000)  12 N 2.73
N (0.0000, 0.0000, 0.5000)  2 Pd 1.93

Properties
For the formation energy from raw total energies, the calculation gives 3.5032 eV per atom. Its magnetic moment is 0.00 μB/f.u.



Computed, not measured: Th2MgH after structural relaxation at the PBE level of DFT.

Cell: 3.3728 3.3728 29.9462 Å, 90.00 90.00 120.00°
With the nearest neighbours (Å) after each atom.
Space group R-3m (No. 166, hexagonal axes)
One atom of each set of equivalent atoms:
Th (0.0000, 0.0000, 0.1125)  3 H 2.54
Mg (0.0000, 0.0000, 0.0000)  2 Th 3.37, 6 Mg 3.37
H (0.0000, 0.0000, 0.5000)  6 Th 2.54

Properties
As for the energy above the most stable polymorph in this dataset: 169.1 meV per atom. Its magnetic moment is 0.00 μB/f.u.